This record from the Open Quantum Materials Database describes a geometry-optimized PrNdCd structure. The functional is PBE.

Lattice parameters (Å, degrees): 5.177 5.177 5.177 60.00 60.00 60.00
Positions (direct):
Cd (0.250, 0.250, 0.250)
Nd (0.000, 0.000, 0.000)
Pr (0.750, 0.750, 0.750)

Summary:
- Total magnetic moment: 0.00 μB per cell
- Volume: 98.09 Å³ per cell
- E_tot: -9.3 eV for the cell shown
- Formation energy from the elements: 0.383 eV per atom
- Space-group type: F-43m, No. 216